# 1
VASP calculation (SCAN) on a crystal of LiY2Tc relaxed with PBEsol.

## Properties
The formation energy is -0.041 eV/atom. As for the magnetic moment: 0.0 μB per cell.

Unit cell a=3.423 b=3.423 c=7.853 alpha=90.00 beta=90.00 gamma=90.00
Space group P4/mmm (No. 123)
Symmetry-distinct sites (fractional):
Li  0.000  0.000  0.000 (multiplicity 1)
Y  0.500  0.500  0.296 (multiplicity 2)
Tc  0.000  0.000  0.500 (multiplicity 1)

=====

# 2
VASP calculation (SCAN) on a crystal of Zn2CuP relaxed with PBEsol.

## Properties
The formation energy is 0.307 eV/atom. As for the magnetic moment: 0.0 μB per cell.

Unit cell a=6.070 b=6.070 c=6.070 alpha=90.00 beta=90.00 gamma=90.00
Space group F-43m (No. 216)
Symmetry-distinct sites (fractional):
Zn  0.000  0.000  0.000 (multiplicity 4)
Zn  0.250  0.250  0.250 (multiplicity 4)
Cu  0.000  0.000  0.500 (multiplicity 4)
P  0.250  0.250  0.750 (multiplicity 4)

=====

# 3
VASP calculation (SCAN) on a crystal of TeAs2Ir relaxed with PBEsol.

## Properties
The uncorrected formation energy is 0.28 eV/atom. As for the magnetic moment: 0.0 μB per cell.

Unit cell a=5.327 b=5.632 c=10.026 alpha=90.00 beta=90.00 gamma=90.00
Space group Fmmm (No. 69)
Symmetry-distinct sites (fractional):
Te  0.000  0.000  0.000 (multiplicity 4)
As  0.000  0.250  0.250 (multiplicity 8)
Ir  0.000  0.000  0.500 (multiplicity 4)